VASP calculation (PBE) on a geometry-optimized BaSiOs structure.

Properties
ρ ... 8.014 g/cm3
Final energy ... -5.35 eV/atom
Total moment ... 0.00 μB/f.u.

a = 4.7059 Å, b = 4.7059 Å, c = 4.7059 Å
α = 60.00°, β = 60.00°, γ = 60.00°
Positions (direct):
Ba: 0.0000 0.0000 0.0000
Si: 0.5000 0.5000 0.5000
Os: 0.2500 0.2500 0.2500